1.
## BaAgPt2 (PBE)

Data for a geometry-optimized BaAgPt2 structure.

Calculated values
* calculated volume: 101.6 Å³/cell
* energy of formation from the pure elements: -436.9 meV per atom
* crystal system: monoclinic
* D(E_F): 2.988 states/eV/cell
* space group: No. 8
* polymorph energy (0 for the lowest one): 0.00 eV per formula unit
* raw total energy: -4.651 eV per atom

a b c (Å): 4.628 4.628 6.102
angles (deg): 112.47 112.47 60.02
Positions (direct):
1 Ba 0.000 0.000 0.000
2 Ag 0.194 0.194 0.581
3 Pt 0.478 0.478 0.435
4 Pt 0.804 0.804 0.414

2.
## KCu2P (PBE)

Data for a geometry-optimized KCu2P structure.

Calculated values
* calculated volume: 90.8 Å³/cell
* energy of formation from the pure elements: 250.6 meV per atom
* crystal system: orthorhombic
* D(E_F): 1.470 states/eV/cell
* space group: No. 71
* raw total energy: -3.424 eV per atom

a b c (Å): 5.281 5.281 5.281
angles (deg): 136.41 111.80 84.52
Positions (direct):
1 K 0.000 0.000 0.000
2 Cu 0.347 0.847 0.500
3 Cu 0.653 0.153 0.500
4 P 0.500 0.500 0.000

3.
## NaHoB12 (PBE)

Data for a geometry-optimized NaHoB12 structure.

Calculated values
* calculated volume: 140.6 Å³/cell
* energy of formation from the pure elements: -277.6 meV per atom
* crystal system: tetragonal
* D(E_F): 1.108 states/eV/cell
* space group: No. 123
* raw total energy: -6.422 eV per atom

a b c (Å): 4.126 4.126 8.259
angles (deg): 90.00 90.00 90.00
Positions (direct):
1 Na 0.000 0.000 0.000
2 Ho 0.000 0.000 0.500
3 B 0.201 0.500 0.253
4 B 0.201 0.500 0.747
5 B 0.500 0.201 0.253
6 B 0.500 0.201 0.747
7 B 0.500 0.500 0.102
8 B 0.500 0.500 0.401
9 B 0.500 0.500 0.599
10 B 0.500 0.500 0.898
11 B 0.500 0.799 0.253
12 B 0.500 0.799 0.747
13 B 0.799 0.500 0.253
14 B 0.799 0.500 0.747